1.
AcPrEr4 GGA-PBE optimized geometry; ΔE_f = 0.044 eV per atom; distance to the lowest polymorph of the same formula = 0.000 eV per atom; M_tot = 0.00 μB per cell
1.0
-0.936 5.445 6.937
-4.339 -4.900 3.261
7.134 -0.240 0.933
Er Pr Ac
8 2 2
Cartesian
-0.102 1.585 6.339
1.961 -1.280 4.791
-2.274 -0.868 7.972
-0.603 1.629 9.845
-1.068 -1.207 0.803
2.928 1.512 10.328
2.462 -1.324 1.286
4.133 1.173 3.159
0.559 1.324 2.735
1.300 -1.019 8.396
3.450 1.438 6.751
-1.591 -1.133 4.380

2.
CeZn4Au GGA-PBE optimized geometry; ΔE_f = -0.187 eV per atom; distance to the lowest polymorph of the same formula = 0.098 eV per atom; M_tot = 0.38 μB per cell
1.0
5.382 0.000 0.000
2.691 4.661 0.000
2.691 1.554 4.395
Zn Au Ce
4 1 1
Cartesian
6.723 3.882 2.745
4.041 3.882 2.745
5.382 3.107 0.555
5.382 1.559 2.745
2.691 1.554 1.099
0.000 0.000 0.000

3.
ReP2Br GGA-PBE optimized geometry; distance to the lowest polymorph of the same formula = 0.913 eV per atom; formation energy from raw total energies = 0.94 eV/atom; M_tot = 0.00 μB per cell
1.0
4.616 0.004 0.002
-1.063 4.492 0.002
0.706 0.893 3.105
Re P Br
1 2 1
Cartesian
2.661 0.448 1.553
0.000 0.000 0.000
1.777 2.248 0.002
-0.178 2.693 1.553

4.
Tl8Sn5Pb GGA-PBE optimized geometry; ΔE_f = 0.100 eV per atom; M_tot = 0.00 μB per cell
1.0
7.771 0.000 -2.932
-3.754 6.905 -2.685
-0.262 0.000 8.301
Sn Tl Pb
5 8 1
Cartesian
3.345 5.096 1.791
3.658 6.416 -3.649
1.484 0.489 7.327
-0.979 1.809 -0.098
3.754 0.000 2.685
6.922 0.507 2.142
4.622 2.002 0.112
3.233 2.598 4.773
1.621 2.284 1.782
-2.155 4.903 1.653
-1.544 4.621 -1.727
1.808 4.307 -1.168
0.510 6.398 3.173
-0.131 3.453 4.151

5.
ZrSiRh2 GGA-PBE optimized geometry; formation energy from raw total energies = -0.55 eV/atom; M_tot = 0.00 μB per cell
1.0
-0.478 -0.006 3.004
3.003 -0.028 0.478
0.060 6.844 0.024
Zr Rh Si
1 2 1
Cartesian
1.307 5.113 1.759
0.000 0.042 0.000
1.280 1.969 1.748
0.027 3.107 0.011

6.
NdDyTh GGA-PBE optimized geometry; ΔE_f = 0.031 eV per atom; distance to the lowest polymorph of the same formula = 0.001 eV per atom; M_tot = 0.00 μB per cell
1.0
3.613 0.000 0.000
0.000 3.613 0.000
-1.807 -1.807 7.601
Dy Th Nd
1 1 1
Cartesian
1.807 1.807 2.659
0.000 0.000 5.036
1.807 1.807 7.506

7.
Ti2ZnBr GGA-PBE optimized geometry; distance to the lowest polymorph of the same formula = 0.000 eV per atom; formation energy from raw total energies = 0.19 eV/atom; M_tot = 1.10 μB per cell
1.0
-0.069 -3.662 2.769
1.481 0.368 4.331
-2.995 -0.195 3.475
Ti Br Zn
2 1 1
Cartesian
-1.188 -2.617 7.930
-0.396 -0.872 2.643
-0.792 -1.745 5.287
0.000 0.000 0.000

8.
CaNbCu2Pt GGA-PBE optimized geometry; ΔE_f = 0.423 eV per atom; M_tot = 1.93 μB per cell
1.0
-3.007 1.705 -3.415
-3.102 -3.594 0.937
-2.206 2.771 3.327
Ca Nb Cu Pt
1 1 2 1
Cartesian
-4.158 0.441 0.424
-1.551 -1.797 0.468
-1.103 1.386 1.663
-1.504 0.853 -1.708
0.000 0.000 0.000

no.,Fermi-level density of states (states/eV per cell),uncorrected energy (eV/cell)
1,16.01,-53.8
2,6.57,-15.4
3,2.97,-21.2
4,6.26,-41.3
5,3.14,-30.9
6,3.99,-16.7
7,7.19,-18.0
8,3.91,-24.2